This record from Alexandria describes a relaxed Mg2Ta2MnO8 crystal. The functional is GGA+U.

Lattice parameters (Å, degrees): 10.185 10.185 5.231 90.46 90.46 34.50
Element x y z (fractional)
Mg 0.085 0.370 0.246
Mg 0.370 0.085 0.746
Mg 0.630 0.915 0.254
Mg 0.915 0.630 0.754
Ta 0.217 0.546 0.258
Ta 0.454 0.783 0.242
Ta 0.546 0.217 0.758
Ta 0.783 0.454 0.742
Mn 0.159 0.841 0.750
Mn 0.841 0.159 0.250
O 0.046 0.339 0.880
O 0.067 0.811 0.405
O 0.189 0.933 0.095
O 0.208 0.417 0.545
O 0.319 0.533 0.928
O 0.339 0.046 0.380
O 0.417 0.208 0.045
O 0.467 0.681 0.572
O 0.533 0.319 0.428
O 0.583 0.792 0.955
O 0.661 0.954 0.620
O 0.681 0.467 0.072
O 0.792 0.583 0.455
O 0.811 0.067 0.905
O 0.933 0.189 0.595
O 0.954 0.661 0.120

As for the density of states at the Fermi level: 0.00 states/eV/f.u. Its total energy is -217.63 eV for the cell shown. As for the calculated volume: 307.3 Å³/cell. The calculation puts the total magnetic moment at 10.00 μB/cell. As for the space-group type: C2/c (15).